No. 1
A plane-wave DFT calculation with PBE was carried out for an optimized crystal structure of ZrUC.

a = 3.266 Å, b = 3.266 Å, c = 5.938 Å
α = 90.00°, β = 90.00°, γ = 120.00°
Sites, in units of the cell vectors:
Zr: 0.000 0.000 0.000
U: 0.667 0.333 0.531
C: 0.333 0.667 0.782

Computed properties:
- Space group: No. 156
- Spin magnetization: 0.6309 μB/atom
- ΔH_f (0 K): -0.17 eV/atom
- Total energy: -9.862 eV/atom

***

No. 2
A plane-wave DFT calculation with PBE was carried out for an optimized crystal structure of Zr5UC6.

a = 5.842 Å, b = 5.842 Å, c = 5.845 Å
α = 99.60°, β = 99.60°, γ = 119.96°
Sites, in units of the cell vectors:
Zr: 0.000 0.000 0.000
Zr: 0.166 0.834 0.500
Zr: 0.332 0.668 0.000
Zr: 0.668 0.332 0.000
Zr: 0.834 0.166 0.500
U: 0.500 0.500 0.500
C: 0.091 0.417 0.251
C: 0.255 0.255 0.745
C: 0.417 0.091 0.251
C: 0.583 0.909 0.749
C: 0.745 0.745 0.255
C: 0.909 0.583 0.749

Computed properties:
- Space group: No. 12
- Spin magnetization: 0.0000 μB/atom
- ΔH_f (0 K): -0.72 eV/atom
- Total energy: -9.839 eV/atom

***

No. 3
A plane-wave DFT calculation with PBE was carried out for an optimized crystal structure of Zr2UC.

a = 8.581 Å, b = 8.581 Å, c = 8.581 Å
α = 21.79°, β = 21.79°, γ = 21.79°
Sites, in units of the cell vectors:
Zr: 0.219 0.219 0.219
Zr: 0.781 0.781 0.781
U: 0.000 0.000 0.000
C: 0.500 0.500 0.500

Computed properties:
- Space group: No. 166
- Spin magnetization: 0.7823 μB/atom
- ΔH_f (0 K): -0.20 eV/atom
- Total energy: -9.606 eV/atom

***

No. 4
A plane-wave DFT calculation with PBE was carried out for an optimized crystal structure of ZrUC.

a = 7.001 Å, b = 7.001 Å, c = 9.943 Å
α = 90.41°, β = 90.41°, γ = 26.80°
Sites, in units of the cell vectors:
Zr: 0.043 0.043 0.140
Zr: 0.428 0.428 0.376
Zr: 0.572 0.572 0.624
Zr: 0.957 0.957 0.860
U: 0.180 0.180 0.872
U: 0.181 0.181 0.372
U: 0.819 0.819 0.628
U: 0.820 0.820 0.128
C: 0.193 0.193 0.617
C: 0.205 0.205 0.120
C: 0.795 0.795 0.880
C: 0.807 0.807 0.383

Computed properties:
- Space group: No. 12
- Spin magnetization: 0.2571 μB/atom
- ΔH_f (0 K): 0.09 eV/atom
- Total energy: -9.599 eV/atom

***

No. 5
A plane-wave DFT calculation with PBE was carried out for an optimized crystal structure of Zr3U2C4.

a = 5.698 Å, b = 5.698 Å, c = 8.117 Å
α = 113.78°, β = 113.78°, γ = 33.70°
Sites, in units of the cell vectors:
Zr: 0.000 0.000 0.000
Zr: 0.219 0.219 0.820
Zr: 0.781 0.781 0.180
U: 0.417 0.417 0.588
U: 0.583 0.583 0.412
C: 0.184 0.184 0.305
C: 0.397 0.397 0.105
C: 0.603 0.603 0.895
C: 0.816 0.816 0.695

Computed properties:
- Space group: No. 12
- Spin magnetization: 0.0000 μB/atom
- ΔH_f (0 K): -0.51 eV/atom
- Total energy: -9.967 eV/atom

***

No. 6
A plane-wave DFT calculation with PBE was carried out for an optimized crystal structure of Zr2UC3.

a = 7.600 Å, b = 7.600 Å, c = 7.600 Å
α = 154.13°, β = 154.13°, γ = 36.91°
Sites, in units of the cell vectors:
Zr: 0.172 0.172 0.000
Zr: 0.828 0.828 0.000
U: 0.500 0.500 0.000
C: 0.000 0.000 0.000
C: 0.335 0.335 0.000
C: 0.665 0.665 0.000

Computed properties:
- Space group: No. 139
- Spin magnetization: 0.0858 μB/atom
- ΔH_f (0 K): -0.58 eV/atom
- Total energy: -9.926 eV/atom